Zn3Ge | PBE | relaxed

E	-1.9911	eV per atom
formation energy	119	meV/atom
total magnetic moment	0.0	μB per formula unit

Lattice parameters (Å, degrees): 5.704 5.704 5.704 152.83 60.50 127.06
Element x y z (fractional)
Zn (0.000, 0.000, 0.000)
Zn (0.243, 0.503, 0.740)
Zn (0.762, 0.503, 0.260)
Ge (0.500, 0.000, 0.500)

***

InOs2Cl | PBE | relaxed

E	-5.5133	eV per atom
ΔE_f (raw)	1.2479	eV/atom
relative energy among the computed polymorphs	379	kJ/mol of formula units
total magnetic moment	0.0	μB per formula unit

Lattice parameters (Å, degrees): 6.573 6.573 6.573 147.89 147.89 46.04
Element x y z (fractional)
In (0.000, 0.000, 0.000)
Os (0.250, 0.750, 0.500)
Os (0.750, 0.250, 0.500)
Cl (0.500, 0.500, 0.000)